A geometry-optimized TbPr3Sm3Zn2 structure, computed with PBE.

Computed properties:
- crystal system = hexagonal
- D(E_F) (states/eV per atom) = 1.4624
- calculated total energy (eV per formula unit) = -35.8
- ΔH_f (0 K) (meV/atom) = -12
- size of the total moment (Bohr magnetons per cell) = 0.00

Lattice parameters (Å, degrees): 9.2499 9.2499 3.6839 90.00 90.00 120.00
Space group P-62m (No. 189)
Asymmetric unit:
Tb: 0.0000 0.0000 0.0000 (multiplicity 1)
Pr: 0.0000 0.3133 0.5000 (multiplicity 3)
Sm: 0.0000 0.6234 0.0000 (multiplicity 3)
Zn: 0.3333 0.6667 0.5000 (multiplicity 2)